No. 1
Entry from the Alexandria database: a relaxed Ac12YSn7 crystal (GGA-PBE).

Cell: 10.2597 10.2597 10.2597 Å, 107.69 107.69 107.69°
Positions (direct):
Ac 0.9244 0.3099 0.7698
Ac 0.6901 0.2302 0.0756
Ac 0.4776 0.1500 0.3908
Ac 0.8500 0.6092 0.5224
Ac 0.2302 0.0756 0.6901
Ac 0.6092 0.5224 0.8500
Ac 0.3908 0.4776 0.1500
Ac 0.7698 0.9244 0.3099
Ac 0.1500 0.3908 0.4776
Ac 0.5224 0.8500 0.6092
Ac 0.3099 0.7698 0.9244
Ac 0.0756 0.6901 0.2302
Y 0.0000 0.0000 0.0000
Sn 0.9583 0.6604 0.8810
Sn 0.3396 0.1190 0.0417
Sn 0.1190 0.0417 0.3396
Sn 0.5000 0.5000 0.5000
Sn 0.8810 0.9583 0.6604
Sn 0.6604 0.8810 0.9583
Sn 0.0417 0.3396 0.1190

**Size of the total moment**: 0.032 μB/atom
**DFT formation energy**: -0.27 eV per atom
**Uncorrected energy**: -4.46 eV/atom

No. 2
Entry from the Alexandria database: a relaxed TaAuBr4 crystal (GGA-PBE).

Cell: 5.9744 5.9744 5.9744 Å, 60.00 60.00 60.00°
Positions (direct):
Ta 0.7500 0.7500 0.7500
Au 0.0000 0.0000 0.0000
Br 0.8732 0.3756 0.3756
Br 0.3756 0.3756 0.8732
Br 0.3756 0.8732 0.3756
Br 0.3756 0.3756 0.3756

**Size of the total moment**: 0.349 μB/atom
**Energy relative to the elements, uncorrected**: 8.1 eV per formula unit
**Uncorrected energy**: -2.29 eV/atom

No. 3
Entry from the Alexandria database: a relaxed ZnBi2Pd7Pb2 crystal (GGA-PBE).

Cell: 3.9918 3.9918 15.8853 Å, 80.11 80.11 89.27°
Positions (direct):
Zn 0.0000 0.0000 0.0000
Bi 0.7459 0.7459 0.3908
Bi 0.2541 0.2541 0.6092
Pd 0.5000 0.5000 0.0000
Pd 0.2289 0.2289 0.4376
Pd 0.7711 0.7711 0.5624
Pd 0.9167 0.4164 0.1238
Pd 0.4164 0.9167 0.1238
Pd 0.5836 0.0833 0.8762
Pd 0.0833 0.5836 0.8762
Pb 0.6672 0.6672 0.7500
Pb 0.3328 0.3328 0.2500

**Size of the total moment**: 0.000 μB/atom
**DFT formation energy**: -0.21 eV per atom
**Uncorrected energy**: -4.61 eV/atom

No. 4
Entry from the Alexandria database: a relaxed RbPtBr crystal (GGA-PBE).

Cell: 5.1124 5.1124 5.1124 Å, 60.00 60.00 60.00°
Positions (direct):
Br 0.0000 0.0000 0.0000
Rb 0.2500 0.2500 0.2500
Pt 0.7500 0.7500 0.7500

**Polymorph energy (0 for the lowest one)**: 892 meV/atom
**Size of the total moment**: 0.000 μB/atom
**Energy relative to the elements, uncorrected**: 0.7 eV per formula unit
**Uncorrected energy**: -2.66 eV/atom

No. 5
Entry from the Alexandria database: a relaxed Ti2HgAu crystal (GGA-PBE).

Cell: 3.9206 3.9206 6.7223 Å, 73.07 73.07 60.04°
Positions (direct):
Ti 0.0704 0.0704 0.7890
Ti 0.2650 0.2650 0.2045
Hg 0.5001 0.5001 0.4997
Au 0.6644 0.6644 0.0068

**Size of the total moment**: 0.006 μB/atom
**DFT formation energy**: 0.19 eV per atom
**Uncorrected energy**: -4.65 eV/atom

No. 6
Entry from the Alexandria database: a relaxed Rb3Pu3GaTe8 crystal (GGA-PBE).

Cell: 8.9862 8.9903 10.0797 Å, 116.50 90.00 119.99°
Positions (direct):
Rb 0.0000 0.0000 0.0000
Rb 0.0000 0.5000 0.0000
Rb 0.5000 0.5000 0.0000
Pu 0.5000 0.0000 0.5000
Pu 0.5000 0.5000 0.5000
Pu 0.0000 0.5000 0.5000
Ga 0.0000 0.0000 0.5000
Te 0.2670 0.5339 0.3008
Te 0.7330 0.4661 0.6992
Te 0.7762 0.5524 0.3135
Te 0.2238 0.4476 0.6865
Te 0.7766 0.0372 0.3138
Te 0.2234 0.9628 0.6862
Te 0.2605 0.0372 0.3138
Te 0.7395 0.9628 0.6862

**Size of the total moment**: 0.921 μB/atom
**Energy relative to the elements, uncorrected**: -13.0 eV per formula unit
**Uncorrected energy**: -5.81 eV/atom